Entry 1:
Computed, not measured: a relaxed Fe2Re crystal at the PBE level of DFT.

Lattice parameters (Å, degrees): 5.621 5.621 5.621 90.00 90.00 90.00
Space group Pa-3 (No. 205)
Asymmetric unit:
1 Fe 0.116 0.116 0.116 [8 per cell]
2 Re 0.000 0.000 0.500 [4 per cell]

Entry 2:
Computed, not measured: a relaxed Sr2As3 crystal at the PBE level of DFT.

Lattice parameters (Å, degrees): 4.4826 4.4826 25.4487 90.00 90.00 120.00
Space group R-3m (No. 166, hexagonal axes)
Asymmetric unit:
1 Sr 0.0000 0.0000 0.0969 [6 per cell]
2 As 0.0000 0.0000 0.3269 [6 per cell]
3 As 0.0000 0.0000 0.5000 [3 per cell]

| no. | energy of formation from the pure elements (eV/atom) | calculated total energy (eV/atom) |
| --- | --- | --- |
| 1 | 1.184 | -8.607 |
| 2 | -0.775 | -4.237 |